1.
Cd2SiTc2: optimized geometry, PBE-GGA.

Its space group is No. 127. The calculation puts the density of states at the Fermi level at 8.41 states/eV/cell. The calculation puts the polymorph energy (0 for the lowest one) at 711 meV/atom. The calculation puts the uncorrected formation energy at 0.772 eV/atom.

Cell lengths 8.3751, 8.3751, 2.7720 Å; angles 90.00, 90.00, 90.00 degrees
With the nearest neighbours (Å) after each atom.
Atoms (fractional coordinates):
Cd 0.1934 0.3066 0.0000  2 Cd 2.77, 6 Tc 2.85-2.91, 2 Si 3.04
Tc 0.0959 0.5959 0.5000  1 Tc 2.27
Tc 0.4041 0.0959 0.5000  1 Tc 2.27
Si 0.0000 0.0000 0.0000  2 Si 2.77, 4 Cd 3.04
Tc 0.9041 0.4041 0.5000  1 Tc 2.27
Cd 0.3066 0.8066 0.0000  2 Cd 2.77, 6 Tc 2.85-2.91, 2 Si 3.04
Cd 0.6934 0.1934 0.0000  2 Cd 2.77, 6 Tc 2.85-2.91, 2 Si 3.04
Tc 0.5959 0.9041 0.5000  1 Tc 2.27
Cd 0.8066 0.6934 0.0000  2 Cd 2.77, 6 Tc 2.85-2.91, 2 Si 3.04
Si 0.5000 0.5000 0.0000  2 Si 2.77, 4 Cd 3.04

=====

2.
Sr2CdAg: optimized geometry, PBE-GGA.

Its space group is No. 122. The calculation puts the density of states at the Fermi level at 5.74 states/eV/cell. For the formation energy from the elements, the calculation gives -0.036 eV per atom.

Cell lengths 8.7579, 8.7579, 7.3036 Å; angles 53.16, 53.16, 90.00 degrees
With the nearest neighbours (Å) after each atom.
Atoms (fractional coordinates):
Sr 0.6062 0.1250 0.2500  2 Ag 3.14, 2 Cd 3.36
Cd 0.0000 0.0000 0.0000  4 Sr 3.36
Sr 0.8750 0.8562 0.7500  2 Ag 3.14, 2 Cd 3.36
Sr 0.3750 0.3938 0.7500  2 Ag 3.14, 2 Cd 3.36
Cd 0.7500 0.2500 0.5000  4 Sr 3.36
Ag 0.5000 0.5000 0.0000  4 Sr 3.14
Ag 0.2500 0.7500 0.5000  4 Sr 3.14
Sr 0.1438 0.6250 0.2500  2 Ag 3.14, 2 Cd 3.36

=====

Summary of E_tot in eV/cell
-48.25 -14.54
(order as listed above)
Summary of magnetic moment in μB per cell
0.0 0.0
(order as listed above)